Entry 1:
Compound: ReBTe2Ir
Source: Alexandria
Functional: PBE-GGA
Structure: relaxed

abc: 4.7808 3.9933 4.7808
angles: 90.00 90.00 90.00
Atoms (fractional coordinates):
Te (0.0000, 0.0000, 0.5000)
Re (0.5000, 0.5000, 0.5000)
Ir (0.0000, 0.5000, 0.0000)
B (0.0000, 0.0000, 0.0000)
Te (0.5000, 0.0000, 0.0000)

Symmetry = P4/mmm
Raw formation energy = 1.267 eV/atom
ρ = 11.724 g cm⁻³
Total magnetic moment = 1.48 Bohr magnetons per cell

Entry 2:
Compound: NaSr2Co
Source: Alexandria
Functional: PBE-GGA
Structure: relaxed

abc: 5.6042 5.6042 5.6042
angles: 60.00 60.00 60.00
Atoms (fractional coordinates):
Na (0.0000, 0.0000, 0.0000)
Co (0.5000, 0.5000, 0.5000)
Sr (0.2500, 0.2500, 0.2500)
Sr (0.7500, 0.7500, 0.7500)

Symmetry = Fm-3m
Formation energy = 1.8 eV/f.u.
ρ = 3.431 g cm⁻³
Total magnetic moment = 0.49 Bohr magnetons per cell
ΔE to the lowest computed polymorph = 0 meV/atom

Entry 3:
Compound: Dy2BiPd9
Source: Alexandria
Functional: PBE-GGA
Structure: relaxed

abc: 4.1269 4.1269 12.3727
angles: 90.00 90.00 90.00
Atoms (fractional coordinates):
Bi (0.0000, 0.0000, 0.0000)
Pd (0.0000, 0.5000, 0.5000)
Pd (0.5000, 0.5000, 0.6698)
Dy (0.0000, 0.0000, 0.3366)
Pd (0.0000, 0.5000, 0.1665)
Dy (0.0000, 0.0000, 0.6634)
Pd (0.5000, 0.0000, 0.1665)
Pd (0.5000, 0.0000, 0.5000)
Pd (0.5000, 0.0000, 0.8335)
Pd (0.5000, 0.5000, 0.0000)
Pd (0.5000, 0.5000, 0.3302)
Pd (0.0000, 0.5000, 0.8335)

Symmetry = P4/mmm
Formation energy = -8.1 eV/f.u.
ρ = 11.755 g cm⁻³
Total magnetic moment = 0.00 Bohr magnetons per cell

Entry 4:
Compound: Mg5Ta
Source: Alexandria
Functional: PBE-GGA
Structure: relaxed

abc: 3.0027 3.0027 14.0562
angles: 90.00 90.00 90.00
Atoms (fractional coordinates):
Mg (0.0000, 0.0000, 0.8454)
Mg (0.5000, 0.5000, 0.6706)
Mg (0.0000, 0.0000, 0.1546)
Mg (0.5000, 0.5000, 0.3294)
Ta (0.5000, 0.5000, 0.0000)
Mg (0.0000, 0.0000, 0.5000)

Symmetry = P4/mmm
Formation energy = 0.8 eV/f.u.
ρ = 3.963 g cm⁻³
Total magnetic moment = 0.00 Bohr magnetons per cell